(1)
A plane-wave DFT calculation with SCAN was carried out for a PBEsol-optimized structure of Rb2VF6.

Cell lengths 6.002, 6.002, 6.002 Å; angles 60.00, 60.00, 60.00 degrees
Atoms (fractional coordinates):
Rb1 0.250 0.250 0.250
Rb2 0.750 0.750 0.750
V1 0.000 0.000 0.000
F1 0.218 0.218 0.782
F2 0.218 0.782 0.218
F3 0.218 0.782 0.782
F4 0.782 0.218 0.218
F5 0.782 0.218 0.782
F6 0.782 0.782 0.218

Results
Space group   Fm-3m (225)
Formation energy (no corrections)   -3.14 eV per atom

---

(2)
A plane-wave DFT calculation with SCAN was carried out for a PBEsol-optimized structure of SrAsIrBr2.

Cell lengths 5.259, 5.259, 4.672 Å; angles 90.00, 90.00, 90.00 degrees
Atoms (fractional coordinates):
Sr1 0.000 0.000 0.000
As1 0.500 0.500 0.000
Ir1 0.500 0.500 0.500
Br1 0.000 0.500 0.500
Br2 0.500 0.000 0.500

Results
Space group   P4/mmm (123)
Formation energy (no corrections)   -0.54 eV per atom

---

(3)
A plane-wave DFT calculation with SCAN was carried out for a PBEsol-optimized structure of FeIr2W.

Cell lengths 3.770, 3.770, 3.776 Å; angles 90.00, 90.00, 90.00 degrees
Atoms (fractional coordinates):
Fe1 0.000 0.000 0.000
Ir1 0.000 0.500 0.500
Ir2 0.500 0.000 0.500
W1 0.500 0.500 0.000

Results
Energy relative to the lowest polymorph listed for this composition   104.7 meV per atom
DFT formation energy   -0.95 eV per formula unit
Space group   P4/mmm (123)

---

(4)
A plane-wave DFT calculation with SCAN was carried out for a PBEsol-optimized structure of KFeCu2.

Cell lengths 2.730, 2.730, 8.619 Å; angles 90.00, 90.00, 90.00 degrees
Atoms (fractional coordinates):
K1 0.000 0.000 0.000
Fe1 0.500 0.500 0.672
Cu1 0.000 0.000 0.488
Cu2 0.500 0.500 0.310

Results
Energy relative to the lowest polymorph listed for this composition   157.1 meV per atom
DFT formation energy   2.57 eV per formula unit
Space group   P4mm (99)

---

(5)
A plane-wave DFT calculation with SCAN was carried out for a PBEsol-optimized structure of CuNiOs.

Cell lengths 5.461, 5.461, 5.461 Å; angles 90.00, 90.00, 90.00 degrees
Atoms (fractional coordinates):
Cu1 0.000 0.000 0.000
Cu2 0.000 0.500 0.500
Cu3 0.500 0.000 0.500
Cu4 0.500 0.500 0.000
Ni1 0.250 0.250 0.750
Ni2 0.250 0.750 0.250
Ni3 0.750 0.250 0.250
Ni4 0.750 0.750 0.750
Os1 0.000 0.000 0.500
Os2 0.000 0.500 0.000
Os3 0.500 0.000 0.000
Os4 0.500 0.500 0.500

Results
Energy relative to the lowest polymorph listed for this composition   399.5 meV per atom
DFT formation energy   2.22 eV per formula unit
Space group   F-43m (216)

---

(6)
A plane-wave DFT calculation with SCAN was carried out for a PBEsol-optimized structure of NiMoSe2.

Cell lengths 3.167, 3.167, 23.362 Å; angles 90.00, 90.00, 120.00 degrees
Atoms (fractional coordinates):
Ni1 0.000 0.000 0.000
Ni2 0.333 0.667 0.667
Ni3 0.667 0.333 0.333
Mo1 0.000 0.000 0.500
Mo2 0.333 0.667 0.167
Mo3 0.667 0.333 0.833
Se1 0.000 0.000 0.397
Se2 0.000 0.000 0.603
Se3 0.333 0.667 0.064
Se4 0.333 0.667 0.269
Se5 0.667 0.333 0.731
Se6 0.667 0.333 0.936

Results
Energy relative to the lowest polymorph listed for this composition   145.1 meV per atom
Space group   R-3m (166)
Formation energy (no corrections)   0.35 eV per atom

---

(7)
A plane-wave DFT calculation with SCAN was carried out for a PBEsol-optimized structure of FeSbTe2.

Cell lengths 7.137, 7.137, 7.137 Å; angles 90.00, 90.00, 90.00 degrees
Atoms (fractional coordinates):
Fe1 0.000 0.000 0.000
Fe2 0.000 0.500 0.500
Fe3 0.500 0.000 0.500
Fe4 0.500 0.500 0.000
Sb1 0.250 0.250 0.750
Sb2 0.250 0.750 0.250
Sb3 0.750 0.250 0.250
Sb4 0.750 0.750 0.750
Te1 0.000 0.000 0.500
Te2 0.000 0.500 0.000
Te3 0.250 0.250 0.250
Te4 0.250 0.750 0.750
Te5 0.500 0.000 0.000
Te6 0.500 0.500 0.500
Te7 0.750 0.250 0.750
Te8 0.750 0.750 0.250

Results
Space group   F-43m (216)
Formation energy (no corrections)   0.60 eV per atom

---

(8)
A plane-wave DFT calculation with SCAN was carried out for a PBEsol-optimized structure of KCrAs2.

Cell lengths 6.797, 6.797, 6.797 Å; angles 90.00, 90.00, 90.00 degrees
Atoms (fractional coordinates):
K1 0.000 0.000 0.000
K2 0.000 0.500 0.500
K3 0.500 0.000 0.500
K4 0.500 0.500 0.000
Cr1 0.000 0.000 0.500
Cr2 0.000 0.500 0.000
Cr3 0.500 0.000 0.000
Cr4 0.500 0.500 0.500
As1 0.250 0.250 0.250
As2 0.250 0.250 0.750
As3 0.250 0.750 0.250
As4 0.250 0.750 0.750
As5 0.750 0.250 0.250
As6 0.750 0.250 0.750
As7 0.750 0.750 0.250
As8 0.750 0.750 0.750

Results
Energy relative to the lowest polymorph listed for this composition   29.5 meV per atom
DFT formation energy   0.64 eV per formula unit
Space group   Fm-3m (225)

---

For the records above, the corresponding magnetization values read 1.0, 0.0, 1.8, 2.8, 1.1, 0.0, 2.9, 3.4 μB per formula unit.